# 1
{
  "formula": "ScCdGaFe",
  "functional": "GGA-PBE",
  "state": "optimized geometry",
  "lattice_angstrom": [[0.000, 3.243, 3.243], [3.243, 0.000, 3.243], [3.243, 3.243, 0.000]],
  "species": ["Cd", "Fe", "Sc", "Ga"],
  "frac_coords": [[0.500, 0.500, 0.500], [0.750, 0.750, 0.750], [0.250, 0.250, 0.250], [0.000, 0.000, 0.000]],
  "crystal_system": "cubic",
  "sg": "No. 216",
  "vol_a3_per_atom": 17.060,
  "polymorph_energy_mev_per_atom": 0,
  "final_energy_ev_per_atom": -4.732
}

=====

# 2
{
  "formula": "DyZrGa2Cu2",
  "functional": "GGA-PBE",
  "state": "optimized geometry",
  "lattice_angstrom": [[4.300, 0.000, 0.000], [-2.150, 3.724, 0.000], [0.000, 0.000, 6.753]],
  "species": ["Dy", "Ga", "Ga", "Zr", "Cu", "Cu"],
  "frac_coords": [[0.000, 0.000, 0.000], [0.333, 0.667, 0.725], [0.333, 0.667, 0.275], [0.000, 0.000, 0.500], [0.667, 0.333, 0.285], [0.667, 0.333, 0.715]],
  "crystal_system": "hexagonal",
  "sg": "No. 187",
  "vol_a3_per_atom": 18.023,
  "final_energy_ev_per_atom": -4.919
}